Below is SmYSc after structural relaxation, with properties calculated at the GGA-PBE level. Values from VASP.

Structure (Quantum ESPRESSO input):
```
&SYSTEM
  ibrav = 0, nat = 6, ntyp = 3
/
ATOMIC_SPECIES
Sm 150.36 Sm.upf
Y 88.91 Y.upf
Sc 44.96 Sc.upf
CELL_PARAMETERS angstrom
5.129 0.001 -0.749
-0.001 3.437 0.001
1.464 1.732 10.018
ATOMIC_POSITIONS angstrom
Sm 6.120 1.631 6.856
Sm 3.282 1.647 5.362
Y 3.792 3.349 8.855
Y 5.609 3.365 3.365
Sc 2.804 1.640 2.092
Sc 5.133 3.343 0.109
```

## Properties
DFT total energy (eV per atom): -5.73
Symmetry: P2_1/m (11)
Energy above the most stable polymorph in this dataset (eV per atom): 0.0600

---

Below is BaGa2Sb2 after structural relaxation, with properties calculated at the GGA-PBE level. Values from VASP.

Structure (Quantum ESPRESSO input):
```
&SYSTEM
  ibrav = 0, nat = 10, ntyp = 3
/
ATOMIC_SPECIES
Sb 121.76 Sb.upf
Ba 137.33 Ba.upf
Ga 69.72 Ga.upf
CELL_PARAMETERS angstrom
8.686 0.000 0.000
0.000 8.686 0.000
0.000 0.000 4.058
ATOMIC_POSITIONS angstrom
Sb 3.317 7.660 0.000
Sb 7.660 5.369 0.000
Sb 5.369 1.026 0.000
Sb 1.026 3.317 0.000
Ba 0.000 0.000 0.000
Ba 4.343 4.343 0.000
Ga 1.249 5.591 2.029
Ga 5.591 7.437 2.029
Ga 7.437 3.094 2.029
Ga 3.094 1.249 2.029
```

## Properties
DFT total energy (eV per atom): -3.48
Symmetry: P4/mbm (127)
E_form (uncorrected) (eV per atom): -0.23

---

Below is Li2Ni2H4Rh after structural relaxation, with properties calculated at the GGA-PBE level. Values from VASP.

Structure (Quantum ESPRESSO input):
```
&SYSTEM
  ibrav = 0, nat = 9, ntyp = 4
/
ATOMIC_SPECIES
Li 6.94 Li.upf
Ni 58.69 Ni.upf
H 1.01 H.upf
Rh 102.91 Rh.upf
CELL_PARAMETERS angstrom
2.755 0.000 0.000
-1.377 6.475 0.914
0.000 -1.523 4.179
ATOMIC_POSITIONS angstrom
Li 1.377 4.112 2.607
Li 0.000 0.841 2.486
Ni 0.000 2.764 4.566
Ni 1.377 2.188 0.527
H 1.377 2.137 3.802
H 0.000 2.815 1.291
H 0.000 5.521 1.596
H 1.377 -0.569 3.497
Rh 0.000 0.000 0.000
```

## Properties
DFT total energy (eV per atom): -4.23
Symmetry: C2/m (12)

---

Below is CaScTeBr2 after structural relaxation, with properties calculated at the GGA-PBE level. Values from VASP.

Structure (Quantum ESPRESSO input):
```
&SYSTEM
  ibrav = 0, nat = 5, ntyp = 4
/
ATOMIC_SPECIES
Sc 44.96 Sc.upf
Ca 40.08 Ca.upf
Te 127.60 Te.upf
Br 79.90 Br.upf
CELL_PARAMETERS angstrom
6.307 0.000 0.000
0.000 5.298 0.000
0.000 0.000 6.307
ATOMIC_POSITIONS angstrom
Sc 0.000 2.649 0.000
Ca 3.153 2.649 3.153
Te 0.000 0.000 0.000
Br 0.000 0.000 3.153
Br 3.153 0.000 0.000
```

## Properties
DFT total energy (eV per atom): -3.06
Symmetry: P4/mmm (123)
E_form (uncorrected) (eV per atom): -0.10

---

Below is Ti4Si2N after structural relaxation, with properties calculated at the GGA-PBE level. Values from VASP.

Structure (Quantum ESPRESSO input):
```
&SYSTEM
  ibrav = 0, nat = 7, ntyp = 3
/
ATOMIC_SPECIES
Si 28.09 Si.upf
N 14.01 N.upf
Ti 47.87 Ti.upf
CELL_PARAMETERS angstrom
-1.875 3.209 1.270
-3.407 -1.491 -1.262
-3.581 -2.059 5.988
ATOMIC_POSITIONS angstrom
Si -2.911 0.020 1.724
Si -5.952 -0.361 4.272
N 0.000 0.000 0.000
Ti -3.274 -1.106 4.035
Ti -5.589 0.766 1.961
Ti -1.703 -0.745 -0.631
Ti -0.937 1.604 0.635
```

## Properties
DFT total energy (eV per atom): -8.11
Symmetry: I4/mmm (139)
E_form (uncorrected) (eV per atom): -0.86
Energy above the most stable polymorph in this dataset (eV per atom): 0.0657

---

Below is PmNd2Cu2Si2 after structural relaxation, with properties calculated at the GGA-PBE level. Values from VASP.

Structure (Quantum ESPRESSO input):
```
&SYSTEM
  ibrav = 0, nat = 7, ntyp = 4
/
ATOMIC_SPECIES
Pm 145.00 Pm.upf
Nd 144.24 Nd.upf
Cu 63.55 Cu.upf
Si 28.09 Si.upf
CELL_PARAMETERS angstrom
-3.965 0.697 -0.911
-2.734 -3.086 0.188
-4.269 1.662 10.503
ATOMIC_POSITIONS angstrom
Pm 0.000 0.000 0.000
Nd -3.540 0.782 6.657
Nd -7.427 -1.509 3.123
Cu -4.840 -1.141 1.495
Cu -6.127 0.413 8.286
Si -8.366 -0.377 8.074
Si -2.602 -0.351 1.707
```

## Properties
DFT total energy (eV per atom): -5.24
Symmetry: R-3m (166)
E_form (uncorrected) (eV per atom): -0.47

---

Below is LaP3Os after structural relaxation, with properties calculated at the GGA-PBE level. Values from VASP.

Structure (Quantum ESPRESSO input):
```
&SYSTEM
  ibrav = 0, nat = 5, ntyp = 3
/
ATOMIC_SPECIES
P 30.97 P.upf
Os 190.23 Os.upf
La 138.91 La.upf
CELL_PARAMETERS angstrom
-2.937 -0.067 4.197
-0.699 -5.043 -0.570
4.139 -0.899 2.882
ATOMIC_POSITIONS angstrom
P -0.350 -2.522 -0.285
P 2.070 -0.450 1.441
P -1.469 -0.033 2.099
Os 0.251 -3.005 3.255
La 0.000 0.000 0.000
```

## Properties
DFT total energy (eV per atom): -4.30
Symmetry: Pm-3m (221)
Energy above the most stable polymorph in this dataset (eV per atom): 2.3049

---

Below is P4SeBr after structural relaxation, with properties calculated at the GGA-PBE level. Values from VASP.

Structure (Quantum ESPRESSO input):
```
&SYSTEM
  ibrav = 0, nat = 6, ntyp = 3
/
ATOMIC_SPECIES
P 30.97 P.upf
Se 78.96 Se.upf
Br 79.90 Br.upf
CELL_PARAMETERS angstrom
3.417 -2.776 4.255
1.311 2.888 5.237
-2.555 -1.859 5.244
ATOMIC_POSITIONS angstrom
P 2.923 -2.369 7.733
P -0.893 -1.783 8.365
P 1.578 1.251 8.360
P 0.740 -0.595 5.014
Se 1.630 -1.311 11.052
Br 0.000 0.000 0.000
```

## Properties
DFT total energy (eV per atom): -3.95
Symmetry: F-43m (216)
E_form (uncorrected) (eV per atom): 0.52

---

Below is TbPa2Pt3 after structural relaxation, with properties calculated at the GGA-PBE level. Values from VASP.

Structure (Quantum ESPRESSO input):
```
&SYSTEM
  ibrav = 0, nat = 24, ntyp = 3
/
ATOMIC_SPECIES
Tb 158.93 Tb.upf
Pa 231.04 Pa.upf
Pt 195.08 Pt.upf
CELL_PARAMETERS angstrom
-2.610 -6.086 -2.698
7.068 -0.086 -1.079
0.040 -1.698 12.384
ATOMIC_POSITIONS angstrom
Tb 4.120 -7.072 6.872
Tb 5.047 -3.232 6.443
Tb 4.297 -1.647 2.968
Tb 0.371 -0.788 1.740
Pa 3.531 -0.067 -0.504
Pa 1.899 -3.977 8.731
Pa 0.200 -6.242 5.663
Pa 1.138 -2.368 5.212
Pa 3.361 -5.502 3.395
Pa -0.545 -4.622 2.137
Pa 2.603 -3.899 -0.128
Pa 5.806 -4.803 9.920
Pt 4.253 -2.482 9.187
Pt -0.445 -5.512 8.369
Pt 0.456 -1.650 7.905
Pt 2.544 -4.706 6.025
Pt 0.897 -6.913 2.994
Pt -1.235 -3.960 4.801
Pt 1.865 -3.205 2.546
Pt 4.130 -6.177 0.738
Pt 0.194 -5.315 -0.536
Pt 4.997 -2.431 0.193
Pt 1.161 -1.608 -0.984
Pt 3.294 -4.561 -2.791
```

## Properties
DFT total energy (eV per atom): -7.92
Symmetry: C2/c (15)

---

Below is PuAg2PdO4 after structural relaxation, with properties calculated at the GGA-PBE level. Values from VASP.

Structure (Quantum ESPRESSO input):
```
&SYSTEM
  ibrav = 0, nat = 16, ntyp = 4
/
ATOMIC_SPECIES
Pu 244.00 Pu.upf
Ag 107.87 Ag.upf
Pd 106.42 Pd.upf
O 16.00 O.upf
CELL_PARAMETERS angstrom
-3.144 -2.363 5.272
-3.970 -2.859 -3.649
3.864 -5.283 -0.064
ATOMIC_POSITIONS angstrom
Pu -2.927 -6.186 -0.779
Pu -3.548 -2.650 4.539
Ag -1.987 -3.188 1.612
Ag 0.242 -6.236 1.575
Ag -0.082 -5.800 -2.526
Ag -1.717 -3.565 -2.499
Pd 1.492 -2.960 -0.296
Pd -5.210 -3.804 -0.567
O -4.545 -3.296 -2.358
O -0.466 -4.440 3.664
O 0.271 -3.869 1.018
O -5.866 -4.306 1.266
O -1.271 -6.845 0.107
O -3.581 -4.525 3.873
O -1.488 -7.387 3.838
O -3.042 -4.424 0.136
```

## Properties
DFT total energy (eV per atom): -6.62
Symmetry: Pmn2_1 (31)
E_form (uncorrected) (eV per atom): -0.99

---

Below is RbBaN2O after structural relaxation, with properties calculated at the GGA-PBE level. Values from VASP.

Structure (Quantum ESPRESSO input):
```
&SYSTEM
  ibrav = 0, nat = 5, ntyp = 4
/
ATOMIC_SPECIES
O 16.00 O.upf
Ba 137.33 Ba.upf
Rb 85.47 Rb.upf
N 14.01 N.upf
CELL_PARAMETERS angstrom
4.693 0.000 0.000
0.000 4.693 0.000
0.000 0.000 4.880
ATOMIC_POSITIONS angstrom
O 0.000 0.000 2.440
Ba 2.346 2.346 2.440
Rb 0.000 0.000 0.000
N 0.000 2.346 0.000
N 2.346 0.000 0.000
```

## Properties
DFT total energy (eV per atom): -3.74
Symmetry: P4/mmm (123)
E_form (uncorrected) (eV per atom): 1.16

---

Below is Tc3GeW after structural relaxation, with properties calculated at the GGA-PBE level. Values from VASP.

Structure (Quantum ESPRESSO input):
```
&SYSTEM
  ibrav = 0, nat = 5, ntyp = 3
/
ATOMIC_SPECIES
Ge 72.64 Ge.upf
Tc 98.00 Tc.upf
W 183.84 W.upf
CELL_PARAMETERS angstrom
-2.332 0.561 3.736
-3.154 -2.707 -1.562
2.081 -3.474 1.820
ATOMIC_POSITIONS angstrom
Ge 0.000 0.000 0.000
Tc -1.577 -1.353 -0.781
Tc 1.040 -1.737 0.910
Tc -1.166 0.280 1.868
W -1.703 -2.810 1.997
```

## Properties
DFT total energy (eV per atom): -8.38
Symmetry: Pm-3m (221)
Energy above the most stable polymorph in this dataset (eV per atom): 0.0000